# 1
Density functional theory data (PBE) for crystalline KTeRh at its relaxed geometry.

Summary:
The calculation puts the density of states at the Fermi level at 1.4 states/eV/f.u. Its total DFT energy (no corrections) is -36.32 eV/cell. The uncorrected formation energy is 2.5 eV per formula unit.

Geometry as CIF:
```
data_KTeRh
_symmetry_space_group_name_H-M 'F -4 3 m'
_symmetry_Int_Tables_number 216
_symmetry_space_group_name_Hall 'F -4 2 3'
_cell_length_a 7.279
_cell_length_b 7.279
_cell_length_c 7.279
_cell_angle_alpha 90.00
_cell_angle_beta 90.00
_cell_angle_gamma 90.00
loop_
_atom_site_label
_atom_site_fract_x
_atom_site_fract_y
_atom_site_fract_z
K1 0.000 0.000 0.000
Te1 0.250 0.250 0.750
Rh1 0.250 0.250 0.250
```

# 2
Density functional theory data (PBE) for crystalline K2Te6Rh3 at its relaxed geometry.

Summary:
The calculation puts the density of states at the Fermi level at 5.2 states/eV/f.u. Its total DFT energy (no corrections) is -98.46 eV/cell. The uncorrected formation energy is -6.1 eV per formula unit.

Geometry as CIF:
```
data_K2Te6Rh3
_symmetry_space_group_name_H-M 'C 1 2/m 1'
_symmetry_Int_Tables_number 12
_cell_length_a 6.932
_cell_length_b 12.010
_cell_length_c 8.496
_cell_angle_alpha 90.00
_cell_angle_beta 105.80
_cell_angle_gamma 90.00
loop_
_symmetry_equiv_pos_as_xyz
'x,y,z'
'-x,-y,-z'
'-x,y,-z'
'x,-y,z'
'x+1/2,y+1/2,z'
'-x+1/2,-y+1/2,-z'
'-x+1/2,y+1/2,-z'
'x+1/2,-y+1/2,z'
loop_
_atom_site_label
_atom_site_fract_x
_atom_site_fract_y
_atom_site_fract_z
K1 0.000 0.167 0.000
Te1 0.222 0.500 0.669
Te2 0.223 0.166 0.667
Rh1 0.000 0.000 0.500
Rh2 0.000 0.333 0.500
```

# 3
Density functional theory data (PBE) for crystalline KTiTe3Rh at its relaxed geometry.

Summary:
The calculation puts the density of states at the Fermi level at 4.4 states/eV/f.u. Its total DFT energy (no corrections) is -59.82 eV/cell. The uncorrected formation energy is -4.1 eV per formula unit.

Geometry as CIF:
```
data_KTiTe3Rh
_symmetry_space_group_name_H-M 'P 1 21/m 1'
_symmetry_Int_Tables_number 11
_cell_length_a 9.116
_cell_length_b 3.881
_cell_length_c 10.644
_cell_angle_alpha 90.00
_cell_angle_beta 114.34
_cell_angle_gamma 90.00
loop_
_symmetry_equiv_pos_as_xyz
'x,y,z'
'-x,-y,-z'
'-x,y+1/2,-z'
'x,-y+1/2,z'
loop_
_atom_site_label
_atom_site_fract_x
_atom_site_fract_y
_atom_site_fract_z
K1 0.249 0.250 0.228
Ti1 0.211 0.750 0.667
Te1 0.034 0.750 0.370
Te2 0.272 0.750 0.945
Te3 0.401 0.250 0.625
Rh1 0.420 0.250 0.881
```

# 4
Density functional theory data (PBE) for crystalline KV2TeRh at its relaxed geometry.

Summary:
The calculation puts the density of states at the Fermi level at 9.2 states/eV/f.u. Its total DFT energy (no corrections) is -24.02 eV/cell. The uncorrected formation energy is 5.8 eV per formula unit.

Geometry as CIF:
```
data_KV2TeRh
_symmetry_space_group_name_H-M 'P 4/m m m'
_symmetry_Int_Tables_number 123
_symmetry_space_group_name_Hall '-P 4 2'
_cell_length_a 5.007
_cell_length_b 5.007
_cell_length_c 5.034
_cell_angle_alpha 90.00
_cell_angle_beta 90.00
_cell_angle_gamma 90.00
loop_
_atom_site_label
_atom_site_fract_x
_atom_site_fract_y
_atom_site_fract_z
K1 0.000 0.000 0.000
V1 0.000 0.500 0.500
Te1 0.500 0.500 0.500
Rh1 0.500 0.500 0.000
```

Question: Number 1 is which compound?
Answer: KTeRh

Question: Number 3 is which compound?
Answer: KTiTe3Rh